! ZrPaGaCu (PBE-GGA, optimized geometry); values from VASP
&SYSTEM
  ibrav = 0, nat = 4, ntyp = 4
/
ATOMIC_SPECIES
Zr 91.22 Zr.upf
Cu 63.55 Cu.upf
Pa 231.04 Pa.upf
Ga 69.72 Ga.upf
CELL_PARAMETERS angstrom
4.845 0.000 0.000
2.423 4.196 0.000
2.423 1.399 3.956
ATOMIC_POSITIONS crystal
Zr 0.500 0.500 0.500
Cu 0.250 0.250 0.250
Pa 0.000 0.000 0.000
Ga 0.750 0.750 0.750
! space group = No. 216
! crystal system = cubic

! CdMoOs3 (PBE-GGA, optimized geometry); values from VASP
&SYSTEM
  ibrav = 0, nat = 5, ntyp = 3
/
ATOMIC_SPECIES
Os 190.23 Os.upf
Cd 112.41 Cd.upf
Mo 95.94 Mo.upf
CELL_PARAMETERS angstrom
-2.975 3.516 -0.858
-3.070 -3.040 -1.812
-1.917 -0.588 4.234
ATOMIC_POSITIONS crystal
Os 0.500 0.000 0.000
Os 0.000 0.000 0.500
Os 0.000 0.500 0.000
Cd 0.000 0.000 0.000
Mo 0.500 0.500 0.500
! space group = No. 221
! relative energy among the computed polymorphs = 5.91 eV per formula unit
! crystal system = cubic

| no. | size of the total moment (μB/cell) | ΔE_f (eV per formula unit) | Fermi-level density of states (states/eV/f.u.) |
| --- | --- | --- | --- |
| 1 | 0.7 | -0.313 | 5.5 |
| 2 | 0.0 | 16.121 | 5.7 |